Record 1
## AgAs (PBE)

Data for a relaxed structure of AgAs.

It has space group P-1 (No. 2), with a = 4.468 Å, b = 4.489 Å, c = 4.685 Å, α = 108.75°, β = 97.65° and γ = 106.79°. The inequivalent atoms are Ag at (0.206, 0.008, 0.293) and As at (0.314, 0.558, 0.819).

The value obtained for the formation energy is 160 meV per atom. For the spin magnetization, the calculation gives 0.00 μB per cell. The value obtained for the energy above the most stable polymorph in this dataset is 0.051 eV/atom. As for the total energy: -14.363 eV/cell. The value obtained for the density of states at the Fermi level is 0.8 states/eV/f.u. The volume comes out at 20.63 Å³ per atom.

=====

Record 2
## AgAs3 (PBE)

Data for a relaxed structure of AgAs3.

It has space group C2/m (No. 12), with a = 11.352 Å, b = 3.018 Å, c = 5.174 Å, α = 90.00°, β = 115.98° and γ = 90.00°. The inequivalent atoms are Ag at (0.000, 0.000, 0.000), As at (0.000, 0.500, 0.500) and As at (0.243, 0.000, 0.700).

The value obtained for the formation energy is 354 meV per atom. For the spin magnetization, the calculation gives 0.00 μB per cell. The value obtained for the energy above the most stable polymorph in this dataset is 0.224 eV/atom. As for the total energy: -30.768 eV/cell. The value obtained for the density of states at the Fermi level is 1.7 states/eV/f.u. The volume comes out at 19.92 Å³ per atom.

=====

Record 3
## Ag3As5 (PBE)

Data for a relaxed structure of Ag3As5.

It has space group Cmmm (No. 65), with a = 7.513 Å, b = 8.018 Å, c = 5.157 Å, α = 90.00°, β = 90.00° and γ = 90.00°. The inequivalent atoms are Ag at (0.000, 0.000, 0.000), Ag at (0.000, 0.189, 0.500), As at (0.000, 0.500, 0.000), As at (0.182, 0.500, 0.500) and As at (0.250, 0.250, 0.000).

The value obtained for the formation energy is 310 meV per atom. For the spin magnetization, the calculation gives 0.00 μB per cell. The value obtained for the energy above the most stable polymorph in this dataset is 0.062 eV/atom. As for the total energy: -58.639 eV/cell. The value obtained for the density of states at the Fermi level is 2.9 states/eV/f.u. The volume comes out at 19.42 Å³ per atom.

=====

Record 4
## Ag2As (PBE)

Data for a relaxed structure of Ag2As.

It has space group I4_1/amd (No. 141, origin choice 2), with a = 4.156 Å, b = 4.156 Å, c = 25.577 Å, α = 90.00°, β = 90.00° and γ = 90.00°. The inequivalent atoms are Ag at (0.000, 0.250, 0.124), Ag at (0.000, 0.250, 0.290) and As at (0.000, 0.250, 0.798).

The value obtained for the formation energy is 132 meV per atom. For the spin magnetization, the calculation gives 0.00 μB per cell. The value obtained for the energy above the most stable polymorph in this dataset is 0.015 eV/atom. As for the total energy: -79.645 eV/cell. The value obtained for the density of states at the Fermi level is 1.2 states/eV/f.u. The volume comes out at 18.41 Å³ per atom.

=====

Record 5
## AgAs3 (PBE)

Data for a relaxed structure of AgAs3.

It has space group I4/mmm (No. 139), with a = 3.839 Å, b = 3.839 Å, c = 22.339 Å, α = 90.00°, β = 90.00° and γ = 90.00°. The inequivalent atoms are Ag at (0.000, 0.000, 0.147), As at (0.000, 0.000, 0.406), As at (0.000, 0.500, 0.000) and As at (0.000, 0.500, 0.250).

The value obtained for the formation energy is 355 meV per atom. For the spin magnetization, the calculation gives 0.00 μB per cell. The value obtained for the energy above the most stable polymorph in this dataset is 0.225 eV/atom. As for the total energy: -61.519 eV/cell. The value obtained for the density of states at the Fermi level is 2.1 states/eV/f.u. The volume comes out at 20.58 Å³ per atom.

=====

Record 6
## Ag2As (PBE)

Data for a relaxed structure of Ag2As.

It has space group Pnma (No. 62), with a = 5.808 Å, b = 4.215 Å, c = 9.044 Å, α = 90.00°, β = 90.00° and γ = 90.00°. The inequivalent atoms are Ag at (0.112, 0.250, 0.247), Ag at (0.143, 0.250, 0.576) and As at (0.143, 0.250, 0.898).

The value obtained for the formation energy is 134 meV per atom. For the spin magnetization, the calculation gives 0.00 μB per cell. The value obtained for the energy above the most stable polymorph in this dataset is 0.016 eV/atom. As for the total energy: -39.804 eV/cell. The value obtained for the density of states at the Fermi level is 1.1 states/eV/f.u. The volume comes out at 18.45 Å³ per atom.

=====

Record 7
## AgAs (PBE)

Data for a relaxed structure of AgAs.

It has space group P4/nmm (No. 129, origin choice 2), with a = 2.851 Å, b = 2.851 Å, c = 9.393 Å, α = 90.00°, β = 90.00° and γ = 90.00°. The inequivalent atoms are Ag at (0.250, 0.250, 0.117) and As at (0.250, 0.250, 0.652).

The value obtained for the formation energy is 199 meV per atom. For the spin magnetization, the calculation gives 0.00 μB per cell. The value obtained for the energy above the most stable polymorph in this dataset is 0.090 eV/atom. As for the total energy: -14.206 eV/cell. The value obtained for the density of states at the Fermi level is 0.8 states/eV/f.u. The volume comes out at 19.09 Å³ per atom.

=====

Record 8
## AgAs (PBE)

Data for a relaxed structure of AgAs.

It has space group R-3m (No. 166, hexagonal axes), with a = 4.5986 Å, b = 4.5986 Å, c = 14.2341 Å, α = 90.00°, β = 90.00° and γ = 120.00°. The inequivalent atoms are Ag at (0.0000, 0.0000, 0.1015) and As at (0.0000, 0.0000, 0.4140).

The value obtained for the formation energy is 276 meV per atom. For the spin magnetization, the calculation gives 0.00 μB per cell. The value obtained for the energy above the most stable polymorph in this dataset is 0.167 eV/atom. As for the total energy: -41.695 eV/cell. The value obtained for the density of states at the Fermi level is 0.6 states/eV/f.u. The volume comes out at 21.72 Å³ per atom.

=====

Record 9
## AgAs (PBE)

Data for a relaxed structure of AgAs.

It has space group Pm-3n (No. 223), with a = 7.222 Å, b = 7.222 Å, c = 7.222 Å, α = 90.00°, β = 90.00° and γ = 90.00°. The inequivalent atoms are Ag at (0.000, 0.250, 0.500) and As at (0.000, 0.500, 0.250).

The value obtained for the formation energy is 535 meV per atom. For the spin magnetization, the calculation gives 0.00 μB per cell. The value obtained for the energy above the most stable polymorph in this dataset is 0.426 eV/atom. As for the total energy: -38.587 eV/cell. The value obtained for the density of states at the Fermi level is 0.8 states/eV/f.u. The volume comes out at 31.39 Å³ per atom.

=====

Record 10
## AgAs3 (PBE)

Data for a relaxed structure of AgAs3.

It has space group Fm-3m (No. 225), with a = 6.774 Å, b = 6.774 Å, c = 6.774 Å, α = 90.00°, β = 90.00° and γ = 90.00°. The inequivalent atoms are Ag at (0.000, 0.000, 0.000), As at (0.000, 0.000, 0.500) and As at (0.250, 0.250, 0.250).

The value obtained for the formation energy is 409 meV per atom. For the spin magnetization, the calculation gives 0.00 μB per cell. The value obtained for the energy above the most stable polymorph in this dataset is 0.279 eV/atom. As for the total energy: -60.663 eV/cell. The value obtained for the density of states at the Fermi level is 2.4 states/eV/f.u. The volume comes out at 19.42 Å³ per atom.

=====

Record 11
## AgAs (PBE)

Data for a relaxed structure of AgAs.

It has space group F-43m (No. 216), with a = 5.886 Å, b = 5.886 Å, c = 5.886 Å, α = 90.00°, β = 90.00° and γ = 90.00°. The inequivalent atoms are Ag at (0.000, 0.000, 0.000) and As at (0.250, 0.250, 0.750).

The value obtained for the formation energy is 503 meV per atom. For the spin magnetization, the calculation gives 0.00 μB per cell. The value obtained for the energy above the most stable polymorph in this dataset is 0.394 eV/atom. As for the total energy: -25.981 eV/cell. The value obtained for the density of states at the Fermi level is 1.8 states/eV/f.u. The volume comes out at 25.49 Å³ per atom.

=====

Record 12
## AgAs3 (PBE)

Data for a relaxed structure of AgAs3.

It has space group P-1 (No. 2), with a = 2.808 Å, b = 5.316 Å, c = 5.944 Å, α = 115.83°, β = 95.69° and γ = 91.69°. The inequivalent atoms are Ag at (0.000, 0.000, 0.000), As at (0.449, 0.249, 0.493) and As at (0.500, 0.500, 0.000).

The value obtained for the formation energy is 171 meV per atom. For the spin magnetization, the calculation gives 0.00 μB per cell. The value obtained for the energy above the most stable polymorph in this dataset is 0.041 eV/atom. As for the total energy: -16.115 eV/cell. The value obtained for the density of states at the Fermi level is 1.5 states/eV/f.u. The volume comes out at 19.80 Å³ per atom.

=====

Record 13
## AgAs3 (PBE)

Data for a relaxed structure of AgAs3.

It has space group Pnma (No. 62), with a = 6.470 Å, b = 6.424 Å, c = 8.151 Å, α = 90.00°, β = 90.00° and γ = 90.00°. The inequivalent atoms are Ag at (0.095, 0.250, 0.159), As at (0.083, 0.250, 0.634) and As at (0.244, 0.012, 0.418).

The value obtained for the formation energy is 232 meV per atom. For the spin magnetization, the calculation gives 0.00 μB per cell. The value obtained for the energy above the most stable polymorph in this dataset is 0.102 eV/atom. As for the total energy: -63.486 eV/cell. The value obtained for the density of states at the Fermi level is 1.2 states/eV/f.u. The volume comes out at 21.17 Å³ per atom.